# SCAN LiCu2Ru, PBEsol geometry
# calculated volume: 12.52 A^3/atom
# ΔH_f (0 K): 0.2079 eV per atom
# energy above the most stable polymorph in this dataset: 178 meV/atom
data_LiCu2Ru
_chemical_formula_sum 'Li2 Cu4 Ru2'
_cell_length_a 2.7299
_cell_length_b 4.2219
_cell_length_c 8.6897
_cell_angle_alpha 90.00
_cell_angle_beta 90.00
_cell_angle_gamma 90.00
_symmetry_space_group_name_H-M 'C m m m'
_symmetry_Int_Tables_number 65
_symmetry_space_group_name_Hall '-C 2 2'
loop_
_atom_site_label
_atom_site_fract_x
_atom_site_fract_y
_atom_site_fract_z
_atom_site_occupancy
Li1 0.0000 0.0000 0.0000 1
Cu1 0.0000 0.5000 0.2466 1
Ru1 0.0000 0.0000 0.5000 1

---

# SCAN NiPRu2, PBEsol geometry
# calculated volume: 12.01 A^3/atom
# ΔH_f (0 K): -0.0451 eV per atom
data_NiPRu2
_chemical_formula_sum 'Ni1 P1 Ru2'
_cell_length_a 2.7944
_cell_length_b 2.7944
_cell_length_c 6.1541
_cell_angle_alpha 90.00
_cell_angle_beta 90.00
_cell_angle_gamma 90.00
_symmetry_space_group_name_H-M 'P 4 m m'
_symmetry_Int_Tables_number 99
loop_
_symmetry_equiv_pos_as_xyz
'x,y,z'
'-y,x,z'
'-x,-y,z'
'y,-x,z'
'-x,y,z'
'y,x,z'
'x,-y,z'
'-y,-x,z'
loop_
_atom_site_label
_atom_site_fract_x
_atom_site_fract_y
_atom_site_fract_z
_atom_site_occupancy
Ni1 0.0000 0.0000 0.0000 1
P1 0.5000 0.5000 0.1867 1
Ru1 0.0000 0.0000 0.4272 1
Ru2 0.5000 0.5000 0.7174 1

---

# SCAN ErAgGe, PBEsol geometry
# calculated volume: 19.40 A^3/atom
# ΔH_f (0 K): -0.7287 eV per atom
data_ErAgGe
_chemical_formula_sum 'Er3 Ag3 Ge3'
_cell_length_a 6.9815
_cell_length_b 6.9815
_cell_length_c 4.1372
_cell_angle_alpha 90.00
_cell_angle_beta 90.00
_cell_angle_gamma 120.00
_symmetry_space_group_name_H-M 'P -6 2 m'
_symmetry_Int_Tables_number 189
_symmetry_space_group_name_Hall 'P -6 -2'
loop_
_atom_site_label
_atom_site_fract_x
_atom_site_fract_y
_atom_site_fract_z
_atom_site_occupancy
Er1 0.0000 0.4181 0.0000 1
Ag1 0.0000 0.7496 0.5000 1
Ge1 0.0000 0.0000 0.0000 1
Ge2 0.3333 0.6667 0.5000 1

---

# SCAN MnTl2Sb, PBEsol geometry
# calculated volume: 25.12 A^3/atom
# raw formation energy: 0.0420 eV/atom
# energy above the most stable polymorph in this dataset: 5 meV/atom
data_MnTl2Sb
_chemical_formula_sum 'Mn2 Tl4 Sb2'
_cell_length_a 3.3283
_cell_length_b 4.2164
_cell_length_c 14.3212
_cell_angle_alpha 90.00
_cell_angle_beta 90.00
_cell_angle_gamma 90.00
_symmetry_space_group_name_H-M 'I m m m'
_symmetry_Int_Tables_number 71
_symmetry_space_group_name_Hall '-I 2 2'
loop_
_atom_site_label
_atom_site_fract_x
_atom_site_fract_y
_atom_site_fract_z
_atom_site_occupancy
Mn1 0.0000 0.0000 0.0000 1
Tl1 0.0000 0.5000 0.3194 1
Sb1 0.0000 0.0000 0.5000 1

---

# SCAN AlReRu2, PBEsol geometry
# calculated volume: 13.51 A^3/atom
# ΔH_f (0 K): -0.4303 eV per atom
data_AlReRu2
_chemical_formula_sum 'Al1 Re1 Ru2'
_cell_length_a 2.8540
_cell_length_b 2.8540
_cell_length_c 6.6330
_cell_angle_alpha 90.00
_cell_angle_beta 90.00
_cell_angle_gamma 90.00
_symmetry_space_group_name_H-M 'P 4/m m m'
_symmetry_Int_Tables_number 123
_symmetry_space_group_name_Hall '-P 4 2'
loop_
_atom_site_label
_atom_site_fract_x
_atom_site_fract_y
_atom_site_fract_z
_atom_site_occupancy
Al1 0.0000 0.0000 0.0000 1
Re1 0.0000 0.0000 0.5000 1
Ru1 0.5000 0.5000 0.2386 1

---

# SCAN TaMo, PBEsol geometry
# calculated volume: 23.84 A^3/atom
# ΔH_f (0 K): 2.5840 eV per atom
data_TaMo
_chemical_formula_sum 'Ta4 Mo4'
_cell_length_a 5.7563
_cell_length_b 5.7563
_cell_length_c 5.7563
_cell_angle_alpha 90.00
_cell_angle_beta 90.00
_cell_angle_gamma 90.00
_symmetry_space_group_name_H-M 'F -4 3 m'
_symmetry_Int_Tables_number 216
_symmetry_space_group_name_Hall 'F -4 2 3'
loop_
_atom_site_label
_atom_site_fract_x
_atom_site_fract_y
_atom_site_fract_z
_atom_site_occupancy
Ta1 0.0000 0.0000 0.0000 1
Mo1 0.2500 0.2500 0.7500 1

---

# SCAN Rb5Tm3Br12, PBEsol geometry
# calculated volume: 34.15 A^3/atom
# raw formation energy: -1.8938 eV/atom
data_Rb5Tm3Br12
_chemical_formula_sum 'Rb5 Tm3 Br12'
_cell_length_a 13.8378
_cell_length_b 13.8378
_cell_length_c 4.1190
_cell_angle_alpha 90.00
_cell_angle_beta 90.00
_cell_angle_gamma 120.00
_symmetry_space_group_name_H-M 'P -6 2 m'
_symmetry_Int_Tables_number 189
_symmetry_space_group_name_Hall 'P -6 -2'
loop_
_atom_site_label
_atom_site_fract_x
_atom_site_fract_y
_atom_site_fract_z
_atom_site_occupancy
Rb1 0.0000 0.7228 0.0000 1
Rb2 0.3333 0.6667 0.0000 1
Tm1 0.0000 0.3334 0.5000 1
Br1 0.0000 0.1926 0.0000 1
Br2 0.0000 0.4716 0.0000 1
Br3 0.2129 0.7704 0.5000 1

---

# SCAN RbBa3Cu, PBEsol geometry
# calculated volume: 53.23 A^3/atom
# ΔH_f (0 K): 0.0808 eV per atom
data_RbBa3Cu
_chemical_formula_sum 'Rb1 Ba3 Cu1'
_cell_length_a 6.4323
_cell_length_b 6.4323
_cell_length_c 6.4323
_cell_angle_alpha 90.00
_cell_angle_beta 90.00
_cell_angle_gamma 90.00
_symmetry_space_group_name_H-M 'P m -3 m'
_symmetry_Int_Tables_number 221
_symmetry_space_group_name_Hall '-P 4 2 3'
loop_
_atom_site_label
_atom_site_fract_x
_atom_site_fract_y
_atom_site_fract_z
_atom_site_occupancy
Rb1 0.0000 0.0000 0.0000 1
Ba1 0.0000 0.5000 0.5000 1
Cu1 0.5000 0.5000 0.5000 1